Density functional theory data (PBE+U) for Ac2FePbO6 after structural relaxation.

Unit cell a=5.934 b=5.927 c=6.030 alpha=119.44 beta=120.38 gamma=90.00
Site moments in Bohr magnetons follow the coordinates.
Positions (direct):
O 0.352 0.749 0.497  0.02
Fe 0.500 0.000 0.000  3.75
O 0.806 0.815 0.125  0.02
Pb 0.000 0.500 0.000  0.02
O 0.806 0.309 0.125  0.02
Ac 0.232 0.251 0.502  0.00
O 0.648 0.251 0.503  0.02
O 0.194 0.691 0.875  0.02
Ac 0.768 0.749 0.498  0.00
O 0.194 0.185 0.875  0.02

Output
VASP energy, eV per atom: -6.969
Magnetization, Bohr magnetons per cell: 4.00
Crystal system: monoclinic
Calculated volume, A^3/atom: 15.04